Entry 1:
! La3PBr3 (meta-GGA SCAN, PBEsol geometry); values from VASP
&SYSTEM
  ibrav = 0, nat = 28, ntyp = 3
/
ATOMIC_SPECIES
La 138.91 La.upf
P 30.97 P.upf
Br 79.90 Br.upf
ATOMIC_POSITIONS crystal
La 0.0110 0.0220 0.2610
La 0.0110 0.4890 0.7500
La 0.0220 0.2610 0.0110
La 0.2390 0.2610 0.7500
La 0.2390 0.4780 0.4890
La 0.2610 0.0110 0.0220
La 0.2610 0.7500 0.2390
La 0.4780 0.4890 0.2390
La 0.4890 0.2390 0.4780
La 0.4890 0.7500 0.0110
La 0.7500 0.0110 0.4890
La 0.7500 0.2390 0.2610
P 0.0000 0.2500 0.5000
P 0.2500 0.2500 0.2500
P 0.2500 0.5000 0.0000
P 0.5000 0.0000 0.2500
Br 0.2500 0.7576 0.7424
Br 0.2500 0.9924 0.5076
Br 0.5076 0.2500 0.9924
Br 0.5076 0.7576 0.5153
Br 0.5153 0.5076 0.7576
Br 0.7424 0.2500 0.7576
Br 0.7424 0.9924 0.9847
Br 0.7576 0.5153 0.5076
Br 0.7576 0.7424 0.2500
Br 0.9847 0.7424 0.9924
Br 0.9924 0.5076 0.2500
Br 0.9924 0.9847 0.7424
CELL_PARAMETERS angstrom
-5.9427 5.9427 5.9427
5.9427 -5.9427 5.9427
5.9427 5.9427 -5.9427
! Spin magnetization: 0.00 μB per atom
! Symmetry: I4_132 (214)
! Uncorrected energy: -846.9 eV per cell

---

Entry 2:
! LaPBr2 (meta-GGA SCAN, PBEsol geometry); values from VASP
&SYSTEM
  ibrav = 0, nat = 12, ntyp = 3
/
ATOMIC_SPECIES
La 138.91 La.upf
P 30.97 P.upf
Br 79.90 Br.upf
ATOMIC_POSITIONS crystal
La 0.0000 0.0000 0.0000
La 0.3333 0.6667 0.6667
La 0.6667 0.3333 0.3333
P 0.0000 0.0000 0.5000
P 0.3333 0.6667 0.1667
P 0.6667 0.3333 0.8333
Br 0.0000 0.0000 0.2639
Br 0.0000 0.0000 0.7361
Br 0.3333 0.6667 0.4027
Br 0.3333 0.6667 0.9306
Br 0.6667 0.3333 0.0694
Br 0.6667 0.3333 0.5973
CELL_PARAMETERS angstrom
3.6777 0.0000 0.0000
-1.8388 3.1850 0.0000
0.0000 0.0000 29.8785
! Spin magnetization: 0.18 μB per atom
! Symmetry: R-3m (166)
! Excess energy over the best structure of this formula in the dataset: 1.091 eV per formula unit

---

Entry 3:
! La2PBr (meta-GGA SCAN, PBEsol geometry); values from VASP
&SYSTEM
  ibrav = 0, nat = 16, ntyp = 3
/
ATOMIC_SPECIES
La 138.91 La.upf
P 30.97 P.upf
Br 79.90 Br.upf
ATOMIC_POSITIONS crystal
La 0.0000 0.0000 0.0000
La 0.0000 0.5000 0.5000
La 0.2500 0.2500 0.2500
La 0.2500 0.7500 0.7500
La 0.5000 0.0000 0.5000
La 0.5000 0.5000 0.0000
La 0.7500 0.2500 0.7500
La 0.7500 0.7500 0.2500
P 0.2500 0.2500 0.7500
P 0.2500 0.7500 0.2500
P 0.7500 0.2500 0.2500
P 0.7500 0.7500 0.7500
Br 0.0000 0.0000 0.5000
Br 0.0000 0.5000 0.0000
Br 0.5000 0.0000 0.0000
Br 0.5000 0.5000 0.5000
CELL_PARAMETERS angstrom
7.2325 0.0000 0.0000
0.0000 7.2325 0.0000
0.0000 0.0000 7.2325
! Spin magnetization: 0.28 μB per atom
! Symmetry: F-43m (216)
! Uncorrected energy: -471.7 eV per cell

---

Entry 4:
! La2PbBr (meta-GGA SCAN, PBEsol geometry); values from VASP
&SYSTEM
  ibrav = 0, nat = 12, ntyp = 3
/
ATOMIC_SPECIES
La 138.91 La.upf
Pb 207.20 Pb.upf
Br 79.90 Br.upf
ATOMIC_POSITIONS crystal
La 0.0000 0.0000 0.2478
La 0.0000 0.0000 0.7522
La 0.3333 0.6667 0.4188
La 0.3333 0.6667 0.9145
La 0.6667 0.3333 0.0855
La 0.6667 0.3333 0.5812
Pb 0.0000 0.0000 0.0000
Pb 0.3333 0.6667 0.6667
Pb 0.6667 0.3333 0.3333
Br 0.0000 0.0000 0.5000
Br 0.3333 0.6667 0.1667
Br 0.6667 0.3333 0.8333
CELL_PARAMETERS angstrom
4.6191 0.0000 0.0000
-2.3095 4.0003 0.0000
0.0000 0.0000 20.3445
! Spin magnetization: 0.00 μB per atom
! Symmetry: R-3m (166)
! Excess energy over the best structure of this formula in the dataset: 0.008 eV per formula unit

---

Entry 5:
! LaPbBr2 (meta-GGA SCAN, PBEsol geometry); values from VASP
&SYSTEM
  ibrav = 0, nat = 4, ntyp = 3
/
ATOMIC_SPECIES
La 138.91 La.upf
Pb 207.20 Pb.upf
Br 79.90 Br.upf
ATOMIC_POSITIONS crystal
La 0.0000 0.0000 0.0000
Pb 0.5000 0.0000 0.5000
Br 0.2123 0.5000 0.2439
Br 0.7877 0.5000 0.7561
CELL_PARAMETERS angstrom
3.8622 0.0000 0.0000
0.0000 5.1204 0.0000
-0.0197 0.0000 5.9903
! Spin magnetization: 0.00 μB per atom
! Symmetry: P2/m (10)
! Uncorrected energy: -162.4 eV per cell

---

Entry 6:
! La2Pb2Br (meta-GGA SCAN, PBEsol geometry); values from VASP
&SYSTEM
  ibrav = 0, nat = 10, ntyp = 3
/
ATOMIC_SPECIES
La 138.91 La.upf
Pb 207.20 Pb.upf
Br 79.90 Br.upf
ATOMIC_POSITIONS crystal
La 0.1766 0.3234 0.0000
La 0.3234 0.8234 0.0000
La 0.6766 0.1766 0.0000
La 0.8234 0.6766 0.0000
Pb 0.1256 0.6256 0.5000
Pb 0.3744 0.1256 0.5000
Pb 0.6256 0.8744 0.5000
Pb 0.8744 0.3744 0.5000
Br 0.0000 0.0000 0.0000
Br 0.5000 0.5000 0.0000
CELL_PARAMETERS angstrom
8.2897 0.0000 0.0000
0.0000 8.2897 0.0000
0.0000 0.0000 4.6186
! Spin magnetization: 0.00 μB per atom
! Symmetry: P4/mbm (127)
! Uncorrected energy: -526.0 eV per cell

---

Entry 7:
! La2PbBr (meta-GGA SCAN, PBEsol geometry); values from VASP
&SYSTEM
  ibrav = 0, nat = 4, ntyp = 3
/
ATOMIC_SPECIES
La 138.91 La.upf
Pb 207.20 Pb.upf
Br 79.90 Br.upf
ATOMIC_POSITIONS crystal
La 0.0000 0.0000 0.0000
La 0.5000 0.5000 0.5000
Pb 0.0000 0.0000 0.5000
Br 0.5000 0.5000 0.0000
CELL_PARAMETERS angstrom
4.4785 0.0000 0.0000
0.0000 4.4785 0.0000
0.0000 0.0000 6.2734
! Spin magnetization: 0.00 μB per atom
! Symmetry: P4/mmm (123)
! Excess energy over the best structure of this formula in the dataset: 0.000 eV per formula unit

---

Entry 8:
! La2Pd2Br (meta-GGA SCAN, PBEsol geometry); values from VASP
&SYSTEM
  ibrav = 0, nat = 10, ntyp = 3
/
ATOMIC_SPECIES
La 138.91 La.upf
Pd 106.42 Pd.upf
Br 79.90 Br.upf
ATOMIC_POSITIONS crystal
La 0.0000 0.0000 0.1212
La 0.0000 0.0000 0.8788
La 0.5000 0.5000 0.3788
La 0.5000 0.5000 0.6212
Pd 0.0000 0.5000 0.2500
Pd 0.0000 0.5000 0.7500
Pd 0.5000 0.0000 0.2500
Pd 0.5000 0.0000 0.7500
Br 0.0000 0.0000 0.5000
Br 0.5000 0.5000 0.0000
CELL_PARAMETERS angstrom
3.8658 0.0000 0.0000
0.0000 3.8658 0.0000
0.0000 0.0000 16.4902
! Spin magnetization: 0.00 μB per atom
! Symmetry: I4/mmm (139)
! Uncorrected energy: -352.4 eV per cell

---

Entry 9:
! LaPdSe2Br (meta-GGA SCAN, PBEsol geometry); values from VASP
&SYSTEM
  ibrav = 0, nat = 5, ntyp = 4
/
ATOMIC_SPECIES
La 138.91 La.upf
Pd 106.42 Pd.upf
Se 78.96 Se.upf
Br 79.90 Br.upf
ATOMIC_POSITIONS crystal
La 0.0000 0.0000 0.0000
Pd 0.5000 0.5000 0.5000
Se 0.0000 0.5000 0.0000
Se 0.5000 0.0000 0.0000
Br 0.0000 0.0000 0.5000
CELL_PARAMETERS angstrom
5.6789 0.0000 0.0000
0.0000 5.6789 0.0000
0.0000 0.0000 5.6501
! Spin magnetization: 0.40 μB per atom
! Symmetry: P4/mmm (123)
! Uncorrected energy: -136.8 eV per cell

---

Entry 10:
! LaPtBr2 (meta-GGA SCAN, PBEsol geometry); values from VASP
&SYSTEM
  ibrav = 0, nat = 12, ntyp = 3
/
ATOMIC_SPECIES
La 138.91 La.upf
Pt 195.08 Pt.upf
Br 79.90 Br.upf
ATOMIC_POSITIONS crystal
La 0.0000 0.0000 0.0000
La 0.3333 0.6667 0.6667
La 0.6667 0.3333 0.3333
Pt 0.0000 0.0000 0.5000
Pt 0.3333 0.6667 0.1667
Pt 0.6667 0.3333 0.8333
Br 0.0000 0.0000 0.1149
Br 0.0000 0.0000 0.8851
Br 0.3333 0.6667 0.5518
Br 0.3333 0.6667 0.7815
Br 0.6667 0.3333 0.2185
Br 0.6667 0.3333 0.4482
CELL_PARAMETERS angstrom
4.0417 0.0000 0.0000
-2.0209 3.5002 0.0000
0.0000 0.0000 24.9469
! Spin magnetization: 0.19 μB per atom
! Symmetry: R-3m (166)
! Excess energy over the best structure of this formula in the dataset: 4.068 eV per formula unit

---

Entry 11:
! LaPtBr (meta-GGA SCAN, PBEsol geometry); values from VASP
&SYSTEM
  ibrav = 0, nat = 12, ntyp = 3
/
ATOMIC_SPECIES
La 138.91 La.upf
Pt 195.08 Pt.upf
Br 79.90 Br.upf
ATOMIC_POSITIONS crystal
La 0.0000 0.0000 0.0000
La 0.0000 0.5000 0.5000
La 0.5000 0.0000 0.5000
La 0.5000 0.5000 0.0000
Pt 0.0000 0.0000 0.5000
Pt 0.0000 0.5000 0.0000
Pt 0.5000 0.0000 0.0000
Pt 0.5000 0.5000 0.5000
Br 0.2500 0.2500 0.2500
Br 0.2500 0.7500 0.7500
Br 0.7500 0.2500 0.7500
Br 0.7500 0.7500 0.2500
CELL_PARAMETERS angstrom
6.7478 0.0000 0.0000
0.0000 6.7478 0.0000
0.0000 0.0000 6.7478
! Spin magnetization: 0.00 μB per atom
! Symmetry: F-43m (216)
! Uncorrected energy: -541.2 eV per cell

---

Entry 12:
! LaPtBr2 (meta-GGA SCAN, PBEsol geometry); values from VASP
&SYSTEM
  ibrav = 0, nat = 4, ntyp = 3
/
ATOMIC_SPECIES
La 138.91 La.upf
Pt 195.08 Pt.upf
Br 79.90 Br.upf
ATOMIC_POSITIONS crystal
La 0.0000 0.0000 0.0000
Pt 0.0000 0.5000 0.5000
Br 0.5000 0.0000 0.5000
Br 0.5000 0.5000 0.0000
CELL_PARAMETERS angstrom
4.2378 0.0000 0.0000
0.0000 4.3639 0.0000
0.0000 0.0000 4.7869
! Spin magnetization: 0.00 μB per atom
! Symmetry: Pmmm (47)
! Excess energy over the best structure of this formula in the dataset: 0.686 eV per formula unit